# 1
## LiZn2NiOs (PBE)

Data for a relaxed LiZn2NiOs crystal.

Structure (extended XYZ):
```
5
Lattice="4.061 0.000 0.000 0.000 4.182 0.000 0.000 0.000 4.061" Properties=species:S:1:pos:R:3 pbc="T T T"
Li 0.000 0.000 0.000
Os 0.000 2.091 0.000
Zn 0.000 0.000 2.031
Ni 2.031 2.091 2.031
Zn 2.031 0.000 0.000
```

***

# 2
## LiZrNi2Os (PBE)

Data for a relaxed LiZrNi2Os crystal.

Structure (extended XYZ):
```
5
Lattice="3.928 0.000 0.000 0.000 4.479 0.000 0.000 0.000 3.928" Properties=species:S:1:pos:R:3 pbc="T T T"
Ni 1.964 0.000 0.000
Ni 0.000 0.000 1.964
Os 1.964 2.240 1.964
Zr 0.000 2.240 0.000
Li 0.000 0.000 0.000
```

***

# 3
5
Lattice="-1.632 1.632 7.131 1.632 -1.632 7.131 1.632 1.632 -7.131" Properties=species:S:1:pos:R:3 comment="Li2NiP2 (PBE, relaxed)" relative_energy_ev_per_atom=0.7830 pbc="T T T"
P 1.632 0.000 3.566
P 0.000 1.632 3.566
Li 0.000 0.000 8.549
Li 0.000 0.000 5.713
Ni 0.000 0.000 0.000

***

# 4
## LiNiP (PBE)

Data for a relaxed LiNiP crystal.

Structure (extended XYZ):
```
3
Lattice="-0.404 1.855 4.366 -0.895 -1.120 4.540 2.633 -0.351 1.437" Properties=species:S:1:pos:R:3 pbc="T T T"
Li -1.285 0.731 8.881
P 1.455 -0.026 3.676
Ni -0.134 0.413 6.694
```

***

# 5
## LiNi10P3 (PBE)

Data for a relaxed LiNi10P3 crystal.

Structure (extended XYZ):
```
28
Lattice="1.219 6.243 4.505 0.375 -0.796 7.745 6.814 0.878 3.682" Properties=species:S:1:pos:R:3 pbc="T T T"
Ni 0.130 -0.277 2.692
Ni 4.576 0.296 5.094
Ni 4.869 2.742 3.968
Li 2.102 1.581 3.983
Ni 2.368 0.305 1.280
Ni 3.789 5.355 8.212
Ni 0.245 -0.520 5.053
Ni 3.392 2.044 9.736
P 2.977 4.237 9.981
Ni 0.926 3.796 5.631
P 2.800 4.611 6.338
Ni 6.421 2.831 7.825
Ni 5.193 3.906 9.840
Ni 0.796 4.073 2.939
P 2.403 1.300 7.862
Ni 5.017 4.280 6.197
Ni 1.988 3.493 8.108
Li 6.306 4.743 11.949
P 5.432 2.087 5.951
Ni 0.424 2.170 1.566
Ni 2.613 -0.214 6.333
Ni 4.446 0.573 2.403
Ni 0.669 1.650 6.619
P 6.005 5.024 8.070
P 5.608 1.713 9.594
Ni 4.619 0.969 7.721
Ni 3.164 4.378 4.219
Ni 3.215 2.418 6.092
```

***

# 6
5
Lattice="3.889 0.000 0.000 0.000 3.889 0.000 0.000 0.000 3.889" Properties=species:S:1:pos:R:3 comment="LiNi3P (PBE, relaxed)" relative_energy_ev_per_atom=0.8482 pbc="T T T"
P 1.945 1.945 1.945
Ni 0.000 1.945 0.000
Ni 0.000 0.000 1.945
Ni 1.945 0.000 0.000
Li 0.000 0.000 0.000

***

# 7
## LiNiP (PBE)

Data for a relaxed LiNiP crystal.

Structure (extended XYZ):
```
6
Lattice="3.857 0.020 0.006 3.848 6.108 -0.006 1.943 0.008 3.345" Properties=species:S:1:pos:R:3 pbc="T T T"
Ni 3.809 3.894 1.337
P 3.816 1.558 1.336
Li 5.745 2.914 2.453
Ni 1.883 1.906 0.217
P 5.732 4.263 0.224
Li 5.741 5.958 2.447
```

***

# 8
## LiNi4P3 (PBE)

Data for a relaxed LiNi4P3 crystal.

Structure (extended XYZ):
```
8
Lattice="3.774 0.000 0.000 0.000 3.774 0.000 0.000 0.000 7.114" Properties=species:S:1:pos:R:3 pbc="T T T"
P 1.887 1.887 4.644
P 0.000 0.000 0.000
P 1.887 1.887 2.470
Ni 0.000 1.887 1.304
Ni 1.887 0.000 1.304
Ni 1.887 0.000 5.810
Li 0.000 0.000 3.557
Ni 0.000 1.887 5.810
```

***

Looking at total DFT energy (no corrections) for the records above, in order, we have -16.70, -29.94, -19.61, -14.32, -162.25, -20.84, -29.52, -45.85 eV for the cell shown.
Looking at volume for the records above, in order, we have 13.80, 13.82, 15.20, 12.94, 11.96, 11.76, 13.08, 12.66 Å³/atom.